VASP calculation (PBE-GGA) on a geometry-optimized Pm6SbBr8 structure.

Lattice parameters (Å, degrees): 7.318 7.318 11.680 71.74 71.74 60.00
Fractional positions:
Br  0.432  0.107  0.680
Br  0.333  0.333  0.000
Br  0.568  0.893  0.320
Br  0.667  0.667  0.000
Br  0.782  0.432  0.680
Br  0.893  0.218  0.320
Br  0.218  0.568  0.320
Br  0.107  0.782  0.680
Pm  0.949  0.604  0.154
Pm  0.707  0.051  0.846
Pm  0.604  0.293  0.154
Pm  0.051  0.396  0.846
Pm  0.396  0.707  0.846
Pm  0.293  0.949  0.154
Sb  0.000  0.000  0.000

## Properties
The calculation puts the magnetic moment at 0.00 μB per cell. The calculated total energy comes out at -0.3311 Ry per atom. Its density of states at the Fermi level is 4.66 states/eV/f.u. Its mass density is 5.4 Mg/m³.